# 1
Compound: RuPt
Source: Alexandria
Functional: GGA-PBEsol
Structure: relaxed

```
RuPt
1.0
2.699 0.000 0.000
0.000 2.699 0.000
0.000 0.000 7.771
Ru Pt
2 2
direct
0.500 0.000 0.613
0.000 0.500 0.387
0.500 0.000 0.134
0.000 0.500 0.866
```

## Properties
The calculation puts the total energy at -8.602 eV/atom. The value obtained for the formation energy is -3.3 kJ/mol of atoms. Its space group is P4/nmm (129).



# 2
Compound: MnZnAs4
Source: Alexandria
Functional: GGA-PBEsol
Structure: relaxed

```
MnZnAs4
1.0
5.453 0.000 0.000
2.727 4.723 0.000
2.727 1.574 4.453
As Mn Zn
4 1 1
direct
0.374 0.374 0.374
0.374 0.374 0.877
0.877 0.374 0.374
0.374 0.877 0.374
0.750 0.750 0.750
0.000 0.000 0.000
```

## Properties
The calculation puts the total energy at -4.716 eV/atom. The value obtained for the formation energy is 55.8 kJ/mol of atoms. Its space group is F-43m (216).



# 3
Compound: KCrS2
Source: Alexandria
Functional: GGA-PBEsol
Structure: relaxed

```
KCrS2
1.0
-2.801 -4.421 -4.544
-2.061 0.642 5.931
-6.318 2.359 1.599
Cr K S
2 2 4
direct
0.750 0.500 0.750
0.000 0.000 0.000
0.250 0.500 0.250
0.500 0.000 0.500
0.731 0.750 0.375
0.019 0.750 0.875
0.875 0.250 0.731
0.375 0.250 0.019
```

## Properties
The calculation puts the total energy at -5.825 eV/atom. Its space group is I-42d (122).



# 4
Compound: TcNi2
Source: Alexandria
Functional: GGA-PBEsol
Structure: relaxed

```
TcNi2
1.0
2.537 0.000 0.000
0.000 3.635 0.000
-1.269 -1.818 3.733
Ni Tc
2 1
direct
0.333 0.333 0.667
0.667 0.667 0.333
0.000 0.000 0.000
```

## Properties
The calculation puts the total energy at -7.886 eV/atom. The value obtained for the formation energy is -2.5 kJ/mol of atoms. Its space group is Immm (71).



# 5
Compound: NaPb3
Source: Alexandria
Functional: GGA-PBEsol
Structure: relaxed

```
NaPb3
1.0
4.827 0.000 0.000
0.000 4.827 0.000
0.000 0.000 4.827
Pb Na
3 1
direct
0.000 0.500 0.500
0.500 0.500 0.000
0.500 0.000 0.500
0.000 0.000 0.000
```

## Properties
The calculation puts the total energy at -3.464 eV/atom. The value obtained for the formation energy is -11.1 kJ/mol of atoms. Its space group is Pm-3m (221).



# 6
Compound: AlPIr2
Source: Alexandria
Functional: GGA-PBEsol
Structure: relaxed

```
AlPIr2
1.0
3.987 0.000 0.000
-1.993 3.917 -0.002
0.000 2.031 3.431
P Ir Al
1 2 1
direct
0.500 0.000 0.500
0.250 0.500 0.250
0.750 0.500 0.750
0.000 0.000 0.000
```

## Properties
The calculation puts the total energy at -7.701 eV/atom. The value obtained for the formation energy is -30.7 kJ/mol of atoms. Its space group is I4/mmm (139).



# 7
Compound: Li3CuNi3O8
Source: Alexandria
Functional: GGA-PBEsol
Structure: relaxed

```
Li3CuNi3O8
1.0
-1.017 2.411 5.047
-1.337 -5.491 -0.880
5.444 -1.027 -1.714
Li Cu Ni O
3 1 3 8
direct
0.500 0.500 0.500
0.500 0.000 0.500
0.000 0.000 0.500
0.000 0.000 0.000
0.500 0.000 0.000
0.500 0.500 0.000
0.000 0.500 0.000
0.525 0.264 0.759
0.027 0.272 0.790
0.028 0.754 0.791
0.475 0.736 0.241
0.510 0.754 0.797
0.973 0.728 0.210
0.972 0.246 0.209
0.490 0.246 0.203
```

## Properties
The calculation puts the total energy at -5.818 eV/atom. Its space group is P-1 (2).



# 8
Compound: BiTeW3
Source: Alexandria
Functional: GGA-PBEsol
Structure: relaxed

```
BiTeW3
1.0
5.008 0.000 0.000
0.000 5.008 0.000
0.000 0.000 5.008
Te Bi W
1 1 3
direct
0.500 0.500 0.500
0.000 0.000 0.000
0.000 0.500 0.000
0.000 0.000 0.500
0.500 0.000 0.000
```

## Properties
The calculation puts the total energy at -6.731 eV/atom. Its space group is Pm-3m (221).